1.
VASP calculation (GGA-PBE) on a geometry-optimized LaGdPb2 structure.

a = 4.5192 Å, b = 6.4080 Å, c = 6.4080 Å
α = 42.75°, β = 90.00°, γ = 90.00°
Closest atoms and distances in Å follow each position.
Element x y z (fractional)
Gd (0.0000, 0.3690, 0.3690)  7 Pb 3.24-3.59
La (0.5000, 0.6318, 0.6318)  7 Pb 3.22-3.60
Pb (0.0000, 0.0972, 0.0972)  3 Gd 3.24-3.59, 2 Pb 3.25, 4 La 3.28
Pb (0.5000, 0.9019, 0.9019)  3 La 3.22-3.60, 2 Pb 3.25, 4 Gd 3.27

Computed properties:
For the calculated volume, the calculation gives 31.49 Å³ per atom. The total energy comes out at -4.80 eV per atom.

---

2.
VASP calculation (GGA-PBE) on a geometry-optimized LaGdPb structure.

a = 5.2908 Å, b = 5.2908 Å, c = 5.2908 Å
α = 60.00°, β = 60.00°, γ = 60.00°
Closest atoms and distances in Å follow each position.
Element x y z (fractional)
Gd (0.0000, 0.0000, 0.0000)  4 La 3.24, 4 Pb 3.24
La (0.2500, 0.2500, 0.2500)  4 Gd 3.24
Pb (0.7500, 0.7500, 0.7500)  4 Gd 3.24

Computed properties:
For the calculated volume, the calculation gives 34.91 Å³ per atom. The relative energy among the computed polymorphs comes out at 0.000 eV per atom.

---

3.
VASP calculation (GGA-PBE) on a geometry-optimized La2GdPdPt2Pb3 structure.

a = 4.1511 Å, b = 7.8725 Å, c = 7.8725 Å
α = 119.80°, β = 90.00°, γ = 90.00°
Closest atoms and distances in Å follow each position.
Element x y z (fractional)
Gd (0.5000, 0.4101, 0.4101)  4 Pt 3.13, 1 Pd 3.21, 6 Pb 3.35-3.49
La (0.5000, 0.9994, 0.5870)  4 Pt 3.17, 1 Pd 3.27, 6 Pb 3.35-3.54
La (0.5000, 0.5870, 0.9994)  4 Pt 3.17, 1 Pd 3.27, 6 Pb 3.35-3.54
Pb (0.0000, 0.2549, 0.0038)  2 Pd 2.87, 2 Pt 2.96-3.04
Pb (0.0000, 0.0038, 0.2549)  2 Pd 2.87, 2 Pt 2.96-3.04
Pb (0.0000, 0.7428, 0.7428)  2 Pd 2.93, 2 Pt 2.95
Pd (0.5000, 0.0042, 0.0042)  6 Pb 2.87-2.93, 1 Gd 3.21
Pt (0.0000, 0.6630, 0.3348)  3 Pb 2.95-3.04, 2 Gd 3.13, 4 La 3.17
Pt (0.0000, 0.3348, 0.6630)  3 Pb 2.95-3.04, 2 Gd 3.13, 4 La 3.17

Computed properties:
For the calculated volume, the calculation gives 24.80 Å³ per atom. The total energy comes out at -5.62 eV per atom.

---

Among the records above, which one has the highest calculated volume? LaGdPb

---

Among the records above, which one has the highest calculated volume? LaGdPb

---

calculated volume of number 3 (La2GdPdPt2Pb3)? 24.80 Å³ per atom